The following is a PBE calculation of a geometry-optimized Rb2Ge2Se3 structure, from Alexandria via LeMat-Bulk.

a b c (Å): 7.180 8.390 8.674
angles (deg): 90.00 107.30 90.00
Sites, in units of the cell vectors:
Rb1 0.201 0.152 0.382
Rb2 0.201 0.348 0.882
Rb3 0.799 0.652 0.118
Rb4 0.799 0.848 0.618
Ge1 0.321 0.642 0.500
Ge2 0.321 0.858 0.000
Ge3 0.679 0.142 0.000
Ge4 0.679 0.358 0.500
Se1 0.000 0.000 0.000
Se2 0.000 0.500 0.500
Se3 0.421 0.003 0.777
Se4 0.421 0.497 0.277
Se5 0.579 0.503 0.723
Se6 0.579 0.997 0.223

## Properties
Crystal system ... monoclinic
Formation energy without anion corrections ... -0.657 eV per atom
Spin magnetization ... 0.00 μB/cell

The following is a PBE calculation of a geometry-optimized TbRu2PbO8 structure, from Alexandria via LeMat-Bulk.

a b c (Å): 5.956 5.956 7.158
angles (deg): 90.00 90.00 120.00
Sites, in units of the cell vectors:
Tb1 0.000 0.000 0.000
Ru1 0.333 0.667 0.286
Ru2 0.667 0.333 0.714
Pb1 0.000 0.000 0.500
O1 0.162 0.327 0.211
O2 0.165 0.838 0.211
O3 0.327 0.165 0.789
O4 0.333 0.667 0.532
O5 0.667 0.333 0.468
O6 0.673 0.835 0.211
O7 0.835 0.162 0.789
O8 0.838 0.673 0.789

## Properties
Crystal system ... trigonal
Density of states at the Fermi level ... 0.4487 states/eV/atom
Formation energy without anion corrections ... -1.306 eV per atom
Spin magnetization ... 3.02 μB/cell

The following is a PBE calculation of a geometry-optimized Ho10Ge3Sb3 structure, from Alexandria via LeMat-Bulk.

a b c (Å): 8.706 8.706 6.333
angles (deg): 90.00 90.00 120.00
Sites, in units of the cell vectors:
Ho1 0.000 0.243 0.000
Ho2 0.000 0.758 0.500
Ho3 0.242 0.242 0.500
Ho4 0.243 0.000 0.000
Ho5 0.333 0.667 0.243
Ho6 0.333 0.667 0.757
Ho7 0.667 0.333 0.243
Ho8 0.667 0.333 0.757
Ho9 0.757 0.757 0.000
Ho10 0.758 0.000 0.500
Ge1 0.000 0.610 0.000
Ge2 0.390 0.390 0.000
Ge3 0.610 0.000 0.000
Sb1 0.000 0.395 0.500
Sb2 0.395 0.000 0.500
Sb3 0.605 0.605 0.500

## Properties
Crystal system ... hexagonal
Density of states at the Fermi level ... 0.6116 states/eV/atom
Formation energy without anion corrections ... -0.843 eV per atom
Spin magnetization ... 0.00 μB/cell

The following is a PBE calculation of a geometry-optimized Cs2HoHBr6 structure, from Alexandria via LeMat-Bulk.

a b c (Å): 7.764 7.768 7.770
angles (deg): 110.57 110.56 107.22
Sites, in units of the cell vectors:
Cs1 0.250 0.250 0.000
Cs2 0.750 0.750 0.000
Ho1 0.000 0.500 0.500
H1 0.500 0.000 0.500
Br1 0.219 0.719 0.940
Br2 0.221 0.280 0.500
Br3 0.315 0.816 0.502
Br4 0.685 0.184 0.498
Br5 0.779 0.720 0.500
Br6 0.781 0.281 0.060

## Properties
Crystal system ... triclinic
Calculated total energy ... -3.46 eV/atom
Density of states at the Fermi level ... 0.0000 states/eV/atom
Spin magnetization ... 0.00 μB/cell

The following is a PBE calculation of a geometry-optimized Tl2SbPb structure, from Alexandria via LeMat-Bulk.

a b c (Å): 4.323 5.370 10.925
angles (deg): 90.00 90.00 90.00
Sites, in units of the cell vectors:
Tl1 0.000 0.000 0.000
Tl2 0.000 0.500 0.232
Tl3 0.500 0.000 0.732
Tl4 0.500 0.500 0.500
Sb1 0.000 0.000 0.472
Sb2 0.500 0.500 0.972
Pb1 0.000 0.500 0.768
Pb2 0.500 0.000 0.268

## Properties
Crystal system ... orthorhombic
Density of states at the Fermi level ... 0.4285 states/eV/atom
Formation energy without anion corrections ... 0.015 eV per atom
Spin magnetization ... 0.00 μB/cell

The following is a PBE calculation of a geometry-optimized SrYTe2 structure, from Alexandria via LeMat-Bulk.

a b c (Å): 4.531 4.531 6.404
angles (deg): 90.00 90.00 90.00
Sites, in units of the cell vectors:
Sr1 0.000 0.000 0.000
Y1 0.500 0.500 0.500
Te1 0.000 0.000 0.500
Te2 0.500 0.500 0.000

## Properties
Crystal system ... tetragonal
Density of states at the Fermi level ... 0.3773 states/eV/atom
Formation energy without anion corrections ... -1.459 eV per atom
Spin magnetization ... 0.00 μB/cell

The following is a PBE calculation of a geometry-optimized Ge2Sb2Te structure, from Alexandria via LeMat-Bulk.

a b c (Å): 8.371 8.371 3.678
angles (deg): 90.00 90.00 90.00
Sites, in units of the cell vectors:
Ge1 0.135 0.365 0.000
Ge2 0.365 0.865 0.000
Ge3 0.635 0.135 0.000
Ge4 0.865 0.635 0.000
Sb1 0.164 0.664 0.500
Sb2 0.336 0.164 0.500
Sb3 0.664 0.836 0.500
Sb4 0.836 0.336 0.500
Te1 0.000 0.000 0.500
Te2 0.500 0.500 0.500

## Properties
Crystal system ... tetragonal
Density of states at the Fermi level ... 0.7585 states/eV/atom
Formation energy without anion corrections ... 0.293 eV per atom
Spin magnetization ... 0.00 μB/cell

The following is a PBE calculation of a geometry-optimized Li2HgHPt structure, from Alexandria via LeMat-Bulk.

a b c (Å): 4.030 4.030 4.060
angles (deg): 90.00 90.00 90.00
Sites, in units of the cell vectors:
Li1 0.000 0.500 0.000
Li2 0.500 0.000 0.000
Hg1 0.000 0.000 0.500
H1 0.000 0.000 0.000
Pt1 0.500 0.500 0.500

## Properties
Crystal system ... tetragonal
Calculated total energy ... -2.94 eV/atom
Density of states at the Fermi level ... 0.3333 states/eV/atom
Spin magnetization ... 0.00 μB/cell

The following is a PBE calculation of a geometry-optimized Na2SiPPd6 structure, from Alexandria via LeMat-Bulk.

a b c (Å): 6.075 8.678 7.143
angles (deg): 90.00 90.00 90.00
Sites, in units of the cell vectors:
Na1 0.250 0.037 0.212
Na2 0.250 0.463 0.212
Na3 0.750 0.537 0.788
Na4 0.750 0.963 0.788
Si1 0.250 0.750 0.770
Si2 0.750 0.250 0.230
P1 0.250 0.250 0.746
P2 0.750 0.750 0.254
Pd1 0.027 0.750 0.478
Pd2 0.032 0.750 0.048
Pd3 0.250 0.501 0.633
Pd4 0.250 0.999 0.633
Pd5 0.468 0.750 0.048
Pd6 0.473 0.750 0.478
Pd7 0.527 0.250 0.522
Pd8 0.532 0.250 0.952
Pd9 0.750 0.001 0.367
Pd10 0.750 0.499 0.367
Pd11 0.968 0.250 0.952
Pd12 0.973 0.250 0.522

## Properties
Crystal system ... orthorhombic
Density of states at the Fermi level ... 0.2977 states/eV/atom
Formation energy without anion corrections ... -0.371 eV per atom
Spin magnetization ... 0.00 μB/cell

The following is a PBE calculation of a geometry-optimized CaPmPaN3 structure, from Alexandria via LeMat-Bulk.

a b c (Å): 6.157 3.528 10.324
angles (deg): 90.00 91.47 90.00
Sites, in units of the cell vectors:
Ca1 0.198 0.250 0.074
Ca2 0.802 0.750 0.926
Pm1 0.238 0.750 0.749
Pm2 0.762 0.250 0.251
Pa1 0.304 0.750 0.399
Pa2 0.696 0.250 0.601
N1 0.053 0.250 0.847
N2 0.326 0.250 0.550
N3 0.370 0.250 0.280
N4 0.630 0.750 0.720
N5 0.674 0.750 0.450
N6 0.947 0.750 0.153

## Properties
Crystal system ... monoclinic
Density of states at the Fermi level ... 0.3590 states/eV/atom
Formation energy without anion corrections ... -1.228 eV per atom
Spin magnetization ... 0.55 μB/cell

The following is a PBE calculation of a geometry-optimized Cd15InHg4 structure, from Alexandria via LeMat-Bulk.

a b c (Å): 4.529 4.529 22.461
angles (deg): 90.00 90.00 90.00
Sites, in units of the cell vectors:
Cd1 0.000 0.000 0.000
Cd2 0.000 0.000 0.201
Cd3 0.000 0.000 0.400
Cd4 0.000 0.000 0.600
Cd5 0.000 0.000 0.799
Cd6 0.000 0.500 0.102
Cd7 0.000 0.500 0.301
Cd8 0.000 0.500 0.500
Cd9 0.000 0.500 0.699
Cd10 0.000 0.500 0.898
Cd11 0.500 0.000 0.102
Cd12 0.500 0.000 0.301
Cd13 0.500 0.000 0.500
Cd14 0.500 0.000 0.699
Cd15 0.500 0.000 0.898
In1 0.500 0.500 0.000
Hg1 0.500 0.500 0.201
Hg2 0.500 0.500 0.401
Hg3 0.500 0.500 0.599
Hg4 0.500 0.500 0.799

## Properties
Crystal system ... tetragonal
Calculated total energy ... -0.86 eV/atom
Density of states at the Fermi level ... 0.3828 states/eV/atom
Spin magnetization ... 0.00 μB/cell

The following is a PBE calculation of a geometry-optimized K3RbSb structure, from Alexandria via LeMat-Bulk.

a b c (Å): 6.371 10.888 8.740
angles (deg): 90.00 90.00 90.00
Sites, in units of the cell vectors:
K1 0.000 0.000 0.000
K2 0.000 0.500 0.500
K3 0.500 0.213 0.159
K4 0.500 0.287 0.659
K5 0.500 0.713 0.659
K6 0.500 0.787 0.159
Rb1 0.000 0.000 0.570
Rb2 0.000 0.500 0.070
Sb1 0.500 0.000 0.836
Sb2 0.500 0.500 0.336

## Properties
Crystal system ... orthorhombic
Density of states at the Fermi level ... 0.5900 states/eV/atom
Formation energy without anion corrections ... -0.240 eV per atom
Spin magnetization ... 1.15 μB/cell